[1]
BeReTc2 | meta-GGA SCAN | PBEsol geometry

```
BeReTc2
1.0
-1.475 2.059 4.193
1.475 -2.059 4.193
1.475 2.059 -4.193
Be Re Tc
1 1 2
Direct
0.000 0.000 0.000
0.500 0.500 0.000
0.239 0.739 0.500
0.761 0.261 0.500
```

Properties
Volume in Å³ per atom: 12.73
Symmetry: Immm
Calculated total energy in eV per atom: -36.452


[2]
K2CuGeI | meta-GGA SCAN | PBEsol geometry

```
K2CuGeI
1.0
6.420 0.000 0.000
0.000 6.420 0.000
0.000 0.000 4.394
K Cu Ge I
2 1 1 1
Direct
0.000 0.500 0.000
0.500 0.000 0.000
0.000 0.000 0.500
0.000 0.000 0.000
0.500 0.500 0.500
```

Properties
Volume in Å³ per atom: 36.23
Symmetry: P4/mmm
Calculated total energy in eV per atom: -17.867


[3]
Te2BrN | meta-GGA SCAN | PBEsol geometry

```
Te2BrN
1.0
1.733 1.000 8.968
-1.733 1.000 8.968
0.000 -2.001 8.968
Te Br N
2 1 1
Direct
0.071 0.071 0.071
0.929 0.929 0.929
0.500 0.500 0.500
0.000 0.000 0.000
```

Properties
Volume in Å³ per atom: 23.32
Symmetry: R-3m
Calculated total energy in eV per atom: -25.242


[4]
CaLaTl | meta-GGA SCAN | PBEsol geometry

```
CaLaTl
1.0
5.516 0.000 0.000
-2.758 4.777 0.000
0.000 0.000 6.970
Ca La Tl
2 2 2
Direct
0.000 0.000 0.000
0.000 0.000 0.500
0.333 0.667 0.250
0.667 0.333 0.750
0.333 0.667 0.750
0.667 0.333 0.250
```

Properties
Volume in Å³ per atom: 30.62
Symmetry: P6_3/mmc
Calculated total energy in eV per atom: -42.312


What is the calculated total energy in the second record?
-17.867 eV per atom


Look up the calculated total energy of the fourth one.
-42.312 eV per atom